## KMoC2O8 (PBE+U)

Data for a geometry-optimized KMoC2O8 structure.

abc: 4.728 4.728 7.986
angles: 87.71 87.71 64.19
Last column: magnetic moment on the atom in μB.
Sites, in units of the cell vectors:
K1 0.000 0.000 0.500  0.00
Mo1 0.000 0.000 0.000  -0.15
C1 0.637 0.637 0.200  -0.01
C2 0.363 0.363 0.800  -0.01
O1 0.686 0.237 0.830  0.11
O2 0.775 0.775 0.074  0.03
O3 0.688 0.688 0.352  0.26
O4 0.312 0.312 0.648  0.26
O5 0.225 0.225 0.926  0.03
O6 0.237 0.686 0.830  0.11
O7 0.763 0.314 0.170  0.11
O8 0.314 0.763 0.170  0.11

Computed properties:
Space-group type   C2/m (12)
VASP energy   -6.690 eV per atom